Material: KZr4S8
Method: DFT, PBE
State: relaxed

Geometry as extended XYZ:
```
13
Lattice="3.667 2.117 7.953 -3.667 2.117 7.953 0.000 -4.234 7.953" Properties=species:S:1:pos:R:3 pbc="T T T"
K 0.000 0.000 0.000
Zr -3.667 0.000 11.929
Zr -1.833 1.058 3.976
Zr 1.833 1.059 3.976
Zr 0.000 0.000 11.929
S 0.000 0.000 5.459
S -1.827 -1.055 13.427
S 0.000 -2.110 10.432
S -1.827 1.055 10.432
S 1.827 -1.055 13.427
S 0.000 2.110 13.427
S 1.827 1.055 10.432
S 0.000 0.000 18.400
```

Properties
Space group: R-3m
Volume, Å³ per atom: 28.49
Raw formation energy, eV/f.u.: -20.6
E, eV/cell: -88.90
Size of the total moment, μB per atom: 0.0000